DFT (PBE) results for Y2Fe15Co2 after structural relaxation.

Lattice parameters (Å, degrees): 6.400 6.400 6.400 82.52 82.52 82.52
Element x y z (fractional)
Y 0.159 0.159 0.159
Y 0.841 0.841 0.841
Fe 0.000 0.500 0.500
Fe 0.158 0.158 0.656
Fe 0.158 0.656 0.158
Fe 0.202 0.500 0.798
Fe 0.202 0.798 0.500
Fe 0.344 0.842 0.842
Fe 0.500 0.000 0.500
Fe 0.500 0.202 0.798
Fe 0.500 0.500 0.000
Fe 0.500 0.798 0.202
Fe 0.656 0.158 0.158
Fe 0.798 0.202 0.500
Fe 0.798 0.500 0.202
Fe 0.842 0.344 0.842
Fe 0.842 0.842 0.344
Co 0.407 0.407 0.407
Co 0.593 0.593 0.593

Calculated values
raw total energy = -8.12 eV per atom
ΔE_f = -8 meV per atom


DFT (PBE) results for LiGaHPb2 after structural relaxation.

Lattice parameters (Å, degrees): 5.178 5.178 3.832 90.00 90.00 90.00
Element x y z (fractional)
Li 0.000 0.000 0.000
Ga 0.500 0.500 0.000
H 0.000 0.000 0.500
Pb 0.000 0.500 0.500
Pb 0.500 0.000 0.500

Calculated values
raw total energy = -3.09 eV per atom